No. 1
A plane-wave DFT calculation with PBE-GGA was carried out for crystalline Th4CoTeS2 at its relaxed geometry.

Summary:
ρ ... 9.42 g/cm³
Crystal system ... monoclinic
Raw formation energy ... -1.184 eV per atom
VASP energy ... -7.2067 eV/atom
DOS at the Fermi energy ... 6.54 states/eV per cell

a = 7.152 Å, b = 4.028 Å, c = 7.605 Å
α = 90.00°, β = 108.57°, γ = 90.00°
Fractional positions:
Th (0.227, 0.000, 0.221)
Th (0.268, 0.500, 0.787)
Th (0.732, 0.500, 0.213)
Th (0.773, 0.000, 0.779)
Co (0.500, 0.000, 0.000)
Te (0.500, 0.500, 0.500)
S (0.000, 0.000, 0.500)
S (0.000, 0.500, 0.000)


No. 2
A plane-wave DFT calculation with PBE-GGA was carried out for crystalline Th6Co2Te3S at its relaxed geometry.

Summary:
ρ ... 9.50 g/cm³
Crystal system ... monoclinic
Raw formation energy ... -1.007 eV per atom
VASP energy ... -7.0306 eV/atom
DOS at the Fermi energy ... 6.39 states/eV per cell

a = 7.228 Å, b = 7.228 Å, c = 7.819 Å
α = 98.82°, β = 98.82°, γ = 120.04°
Fractional positions:
Th (0.078, 0.432, 0.801)
Th (0.212, 0.212, 0.198)
Th (0.432, 0.078, 0.801)
Th (0.568, 0.922, 0.199)
Th (0.788, 0.788, 0.802)
Th (0.922, 0.568, 0.199)
Co (0.167, 0.833, 0.000)
Co (0.833, 0.167, 0.000)
Te (0.000, 0.000, 0.500)
Te (0.341, 0.659, 0.500)
Te (0.659, 0.341, 0.500)
S (0.500, 0.500, 0.000)


No. 3
A plane-wave DFT calculation with PBE-GGA was carried out for crystalline TlCoTeS2 at its relaxed geometry.

Summary:
ρ ... 5.74 g/cm³
Crystal system ... tetragonal
Raw formation energy ... 1.194 eV per atom
VASP energy ... -2.9797 eV/atom
DOS at the Fermi energy ... 7.91 states/eV per cell

a = 5.117 Å, b = 5.117 Å, c = 5.031 Å
α = 90.00°, β = 90.00°, γ = 90.00°
Fractional positions:
Tl (0.000, 0.000, 0.000)
Co (0.000, 0.000, 0.500)
Te (0.500, 0.500, 0.500)
S (0.000, 0.500, 0.000)
S (0.500, 0.000, 0.000)


No. 4
A plane-wave DFT calculation with PBE-GGA was carried out for crystalline YCo2TeS at its relaxed geometry.

Summary:
ρ ... 4.51 g/cm³
Crystal system ... tetragonal
Raw formation energy ... 1.439 eV per atom
VASP energy ... -4.1501 eV/atom
DOS at the Fermi energy ... 3.73 states/eV per cell

a = 4.827 Å, b = 4.827 Å, c = 5.795 Å
α = 90.00°, β = 90.00°, γ = 90.00°
Fractional positions:
Y (0.000, 0.000, 0.000)
Co (0.000, 0.500, 0.000)
Co (0.500, 0.000, 0.000)
Te (0.000, 0.000, 0.500)
S (0.500, 0.500, 0.500)


No. 5
A plane-wave DFT calculation with PBE-GGA was carried out for crystalline Th6CoS5 at its relaxed geometry.

Summary:
ρ ... 9.43 g/cm³
Crystal system ... monoclinic
Raw formation energy ... -1.569 eV per atom
VASP energy ... -7.5908 eV/atom
DOS at the Fermi energy ... 10.31 states/eV per cell

a = 7.036 Å, b = 7.036 Å, c = 7.025 Å
α = 99.74°, β = 99.74°, γ = 119.87°
Fractional positions:
Th (0.082, 0.404, 0.242)
Th (0.244, 0.244, 0.752)
Th (0.404, 0.082, 0.242)
Th (0.596, 0.918, 0.758)
Th (0.756, 0.756, 0.248)
Th (0.918, 0.596, 0.758)
Co (0.000, 0.000, 0.000)
S (0.171, 0.829, 0.500)
S (0.334, 0.666, 0.000)
S (0.500, 0.500, 0.500)
S (0.666, 0.334, 0.000)
S (0.829, 0.171, 0.500)


No. 6
A plane-wave DFT calculation with PBE-GGA was carried out for crystalline Th2CoS at its relaxed geometry.

Summary:
Offset from the most stable computed form ... 91 meV/atom
ρ ... 9.53 g/cm³
Crystal system ... trigonal
Raw formation energy ... -0.941 eV per atom
VASP energy ... -7.4588 eV/atom
DOS at the Fermi energy ... 4.40 states/eV per cell

a = 7.594 Å, b = 7.594 Å, c = 7.594 Å
α = 29.96°, β = 29.96°, γ = 29.96°
Fractional positions:
Th (0.000, 0.000, 0.000)
Th (0.188, 0.188, 0.188)
Co (0.592, 0.592, 0.592)
S (0.761, 0.761, 0.761)


No. 7
A plane-wave DFT calculation with PBE-GGA was carried out for crystalline Th2CoS at its relaxed geometry.

Summary:
Offset from the most stable computed form ... 26 meV/atom
ρ ... 9.59 g/cm³
Crystal system ... trigonal
Raw formation energy ... -1.006 eV per atom
VASP energy ... -7.5239 eV/atom
DOS at the Fermi energy ... 3.29 states/eV per cell

a = 7.421 Å, b = 7.421 Å, c = 7.421 Å
α = 30.99°, β = 30.99°, γ = 30.99°
Fractional positions:
Th (0.240, 0.240, 0.240)
Th (0.760, 0.760, 0.760)
Co (0.500, 0.500, 0.500)
S (0.000, 0.000, 0.000)


No. 8
A plane-wave DFT calculation with PBE-GGA was carried out for crystalline Th2CoS at its relaxed geometry.

Summary:
Offset from the most stable computed form ... 0 meV/atom
ρ ... 10.19 g/cm³
Crystal system ... orthorhombic
Raw formation energy ... -1.031 eV per atom
VASP energy ... -7.5495 eV/atom
DOS at the Fermi energy ... 6.22 states/eV per cell

a = 11.638 Å, b = 11.638 Å, c = 4.114 Å
α = 90.00°, β = 90.00°, γ = 161.05°
Fractional positions:
Th (0.063, 0.937, 0.750)
Th (0.315, 0.685, 0.750)
Th (0.685, 0.315, 0.250)
Th (0.937, 0.063, 0.250)
Co (0.455, 0.545, 0.750)
Co (0.545, 0.455, 0.250)
S (0.189, 0.811, 0.750)
S (0.811, 0.189, 0.250)


Question: ρ of number 3 (TlCoTeS2)?
Answer: 5.74 g/cm³